## A
Compound: RbMnSi
Source: Alexandria
Functional: GGA-PBE
Structure: optimized geometry

Results
V (Å³ per atom): 25.689
Total magnetic moment (μB/f.u.): 2.46
Mass density (g cm⁻³): 3.6

a b c (Å): 3.274 3.747 12.598
angles (deg): 90.28 94.14 90.00
Site moments in Bohr magnetons follow the coordinates.
Atoms (fractional coordinates):
1 Si 0.524 0.752 0.587  -0.09
2 Si 0.476 0.248 0.413  -0.09
3 Mn 0.019 0.251 0.570  2.47
4 Mn 0.981 0.749 0.430  2.47
5 Rb 0.089 0.264 0.824  0.01
6 Rb 0.911 0.736 0.176  0.01

## B
Compound: RbMnSi
Source: Alexandria
Functional: GGA-PBE
Structure: optimized geometry

Results
V (Å³ per atom): 28.412
Total magnetic moment (μB/f.u.): 1.93
Mass density (g cm⁻³): 3.3

a b c (Å): 4.050 4.051 12.165
angles (deg): 97.46 91.49 119.97
Site moments in Bohr magnetons follow the coordinates.
Atoms (fractional coordinates):
1 Si 0.437 0.183 0.448  -0.02
2 Si 0.507 0.294 0.642  -0.02
3 Mn 0.803 0.901 0.538  1.76
4 Mn 0.141 0.575 0.550  1.80
5 Rb 0.027 0.396 0.236  0.01
6 Rb 0.251 0.749 0.856  0.01

Most stable to least stable, the ends of the list are B and A.

## A
Compound: RbMnSi2
Source: Alexandria
Functional: GGA-PBE
Structure: optimized geometry

Results
V (Å³ per atom): 28.921
Total magnetic moment (μB/f.u.): 0.96
Mass density (g cm⁻³): 2.8

a b c (Å): 5.992 5.992 7.713
angles (deg): 67.14 67.14 90.00
Site moments in Bohr magnetons follow the coordinates.
Atoms (fractional coordinates):
1 Si 0.375 0.125 0.250  -0.08
2 Si 0.375 0.625 0.250  -0.09
3 Si 0.375 0.625 0.750  -0.09
4 Si 0.875 0.625 0.750  -0.10
5 Mn 0.500 0.500 0.000  1.25
6 Mn 0.250 0.750 0.500  1.25
7 Rb 0.000 0.000 0.000  -0.01
8 Rb 0.750 0.250 0.500  -0.01

## B
Compound: RbMnSi2
Source: Alexandria
Functional: GGA-PBE
Structure: optimized geometry

Results
V (Å³ per atom): 18.453
Total magnetic moment (μB/f.u.): 0.00
Mass density (g cm⁻³): 4.4

a b c (Å): 4.708 4.708 4.708
angles (deg): 60.00 60.00 60.00
Atoms (fractional coordinates):
1 Si 0.250 0.250 0.250
2 Si 0.750 0.750 0.750
3 Mn 0.000 0.000 0.000
4 Rb 0.500 0.500 0.500

Most stable to least stable, the ends of the list are A and B.

## A
Compound: RbMn2Si
Source: Alexandria
Functional: GGA-PBE
Structure: optimized geometry

Results
V (Å³ per atom): 15.133
Total magnetic moment (μB/f.u.): 0.00
Mass density (g cm⁻³): 6.1

a b c (Å): 4.407 4.407 4.407
angles (deg): 60.00 60.00 60.00
Atoms (fractional coordinates):
1 Si 0.000 0.000 0.000
2 Mn 0.250 0.250 0.250
3 Mn 0.750 0.750 0.750
4 Rb 0.500 0.500 0.500

## B
Compound: RbMn2Si
Source: Alexandria
Functional: GGA-PBE
Structure: optimized geometry

Results
V (Å³ per atom): 30.508
Total magnetic moment (μB/f.u.): 8.13
Mass density (g cm⁻³): 3.0

a b c (Å): 5.523 5.523 8.904
angles (deg): 71.93 71.93 90.00
Site moments in Bohr magnetons follow the coordinates.
Atoms (fractional coordinates):
1 Si 0.500 0.500 0.000  -0.10
2 Si 0.250 0.750 0.500  -0.10
3 Mn 0.375 0.125 0.250  3.68
4 Mn 0.375 0.625 0.250  3.68
5 Mn 0.375 0.625 0.750  3.73
6 Mn 0.875 0.625 0.750  3.68
7 Rb 0.000 0.000 0.000  0.02
8 Rb 0.750 0.250 0.500  0.02

Most stable to least stable, the ends of the list are B and A.

## A
Compound: RbMnSi3
Source: Alexandria
Functional: GGA-PBE
Structure: optimized geometry

Results
V (Å³ per atom): 19.104
Total magnetic moment (μB/f.u.): 0.50
Mass density (g cm⁻³): 3.9

a b c (Å): 4.571 4.571 4.571
angles (deg): 90.00 90.00 90.00
Site moments in Bohr magnetons follow the coordinates.
Atoms (fractional coordinates):
1 Si 0.000 0.500 0.000  0.00
2 Si 0.000 0.000 0.500  -0.01
3 Si 0.500 0.000 0.000  0.00
4 Mn 0.000 0.000 0.000  0.48
5 Rb 0.500 0.500 0.500  0.01

## B
Compound: RbMnSi3
Source: Alexandria
Functional: GGA-PBE
Structure: optimized geometry

Results
V (Å³ per atom): 29.359
Total magnetic moment (μB/f.u.): 0.57
Mass density (g cm⁻³): 2.5

a b c (Å): 5.275 5.275 5.275
angles (deg): 90.00 90.00 90.00
Site moments in Bohr magnetons follow the coordinates.
Atoms (fractional coordinates):
1 Si 0.000 0.500 0.000  0.06
2 Si 0.000 0.000 0.500  0.02
3 Si 0.500 0.000 0.000  0.06
4 Mn 0.500 0.500 0.500  0.00
5 Rb 0.000 0.000 0.000  0.04

Most stable to least stable, the ends of the list are A and B.

## A
Compound: Rb2MnSi
Source: Alexandria
Functional: GGA-PBE
Structure: optimized geometry

Results
V (Å³ per atom): 37.048
Total magnetic moment (μB/f.u.): 4.19
Mass density (g cm⁻³): 2.8

a b c (Å): 5.940 5.940 5.940
angles (deg): 60.00 60.00 60.00
Site moments in Bohr magnetons follow the coordinates.
Atoms (fractional coordinates):
1 Si 0.000 0.000 0.000  -0.15
2 Mn 0.500 0.500 0.500  4.35
3 Rb 0.250 0.250 0.250  -0.01
4 Rb 0.750 0.750 0.750  -0.01

## B
Compound: Rb2MnSi
Source: Alexandria
Functional: GGA-PBE
Structure: optimized geometry

Results
V (Å³ per atom): 54.904
Total magnetic moment (μB/f.u.): 3.74
Mass density (g cm⁻³): 1.9

a b c (Å): 13.727 13.727 9.983
angles (deg): 46.56 46.56 90.00
Site moments in Bohr magnetons follow the coordinates.
Atoms (fractional coordinates):
1 Si 0.500 0.500 0.000  -0.15
2 Si 0.250 0.750 0.500  -0.15
3 Mn 0.000 0.000 0.000  3.66
4 Mn 0.750 0.250 0.500  3.66
5 Rb 0.855 0.125 0.250  0.01
6 Rb 0.895 0.625 0.250  0.01
7 Rb 0.375 0.145 0.750  0.01
8 Rb 0.875 0.105 0.750  0.01

Most stable to least stable, the ends of the list are B and A.

## A
Compound: RbMnSn2
Source: Alexandria
Functional: GGA-PBE
Structure: optimized geometry

Results
V (Å³ per atom): 38.532
Total magnetic moment (μB/f.u.): 1.95
Mass density (g cm⁻³): 4.1

a b c (Å): 6.572 6.572 8.516
angles (deg): 67.30 67.30 90.00
Site moments in Bohr magnetons follow the coordinates.
Atoms (fractional coordinates):
1 Mn 0.500 0.500 0.000  2.34
2 Mn 0.250 0.750 0.500  2.34
3 Sn 0.374 0.125 0.250  -0.15
4 Sn 0.376 0.625 0.250  -0.16
5 Sn 0.375 0.626 0.750  -0.19
6 Sn 0.875 0.624 0.750  -0.19
7 Rb 0.000 0.000 0.000  -0.01
8 Rb 0.750 0.250 0.500  -0.01

## B
Compound: RbMnSn2
Source: Alexandria
Functional: GGA-PBE
Structure: optimized geometry

Results
V (Å³ per atom): 27.740
Total magnetic moment (μB/f.u.): 4.02
Mass density (g cm⁻³): 5.7

a b c (Å): 5.394 5.394 5.394
angles (deg): 60.00 60.00 60.00
Site moments in Bohr magnetons follow the coordinates.
Atoms (fractional coordinates):
1 Mn 0.000 0.000 0.000  4.07
2 Sn 0.250 0.250 0.250  -0.09
3 Sn 0.750 0.750 0.750  -0.09
4 Rb 0.500 0.500 0.500  -0.01

Most stable to least stable, the ends of the list are A and B.

## A
Compound: RbTaMn2
Source: Alexandria
Functional: GGA-PBE
Structure: optimized geometry

Results
V (Å³ per atom): 30.989
Total magnetic moment (μB/f.u.): 5.16
Mass density (g cm⁻³): 5.0

a b c (Å): 5.508 5.508 9.053
angles (deg): 72.29 72.29 90.00
Site moments in Bohr magnetons follow the coordinates.
Atoms (fractional coordinates):
1 Mn 0.875 0.125 0.250  3.19
2 Mn 0.875 0.625 0.250  3.20
3 Mn 0.375 0.125 0.750  3.16
4 Mn 0.875 0.125 0.750  3.22
5 Rb 0.500 0.500 0.000  0.00
6 Rb 0.250 0.750 0.500  0.00
7 Ta 0.000 0.000 0.000  -1.22
8 Ta 0.750 0.250 0.500  -1.22

## B
Compound: RbTaMn2
Source: Alexandria
Functional: GGA-PBE
Structure: optimized geometry

Results
V (Å³ per atom): 17.129
Total magnetic moment (μB/f.u.): 0.00
Mass density (g cm⁻³): 9.1

a b c (Å): 4.593 4.593 4.593
angles (deg): 60.00 60.00 60.00
Atoms (fractional coordinates):
1 Mn 0.250 0.250 0.250
2 Mn 0.750 0.750 0.750
3 Rb 0.000 0.000 0.000
4 Ta 0.500 0.500 0.500

Most stable to least stable, the ends of the list are A and B.

## A
Compound: RbTa2Mn
Source: Alexandria
Functional: GGA-PBE
Structure: optimized geometry

Results
V (Å³ per atom): 18.335
Total magnetic moment (μB/f.u.): 0.00
Mass density (g cm⁻³): 11.4

a b c (Å): 4.698 4.698 4.698
angles (deg): 60.00 60.00 60.00
Atoms (fractional coordinates):
1 Mn 0.000 0.000 0.000
2 Rb 0.500 0.500 0.500
3 Ta 0.250 0.250 0.250
4 Ta 0.750 0.750 0.750

## B
Compound: RbTa2Mn
Source: Alexandria
Functional: GGA-PBE
Structure: optimized geometry

Results
V (Å³ per atom): 30.861
Total magnetic moment (μB/f.u.): 0.00
Mass density (g cm⁻³): 6.8

a b c (Å): 5.893 5.893 8.240
angles (deg): 69.05 69.05 90.00
Atoms (fractional coordinates):
1 Mn 0.500 0.500 0.000
2 Mn 0.250 0.750 0.500
3 Rb 0.000 0.000 0.000
4 Rb 0.750 0.250 0.500
5 Ta 0.376 0.125 0.250
6 Ta 0.374 0.625 0.250
7 Ta 0.375 0.624 0.750
8 Ta 0.875 0.626 0.750

Most stable to least stable, the ends of the list are A and B.

## A
Compound: Rb2MnTc2
Source: Alexandria
Functional: GGA-PBE
Structure: optimized geometry

Results
V (Å³ per atom): 25.099
Total magnetic moment (μB/f.u.): 0.58
Mass density (g cm⁻³): 5.6

a b c (Å): 3.959 3.959 8.483
angles (deg): 76.51 76.51 90.00
Atoms (fractional coordinates):
1 Mn 0.000 0.000 0.000
2 Tc 0.435 0.435 0.129
3 Tc 0.565 0.565 0.871
4 Rb 0.750 0.250 0.500
5 Rb 0.250 0.750 0.500

## B
Compound: Rb2MnTc2
Source: Alexandria
Functional: GGA-PBE
Structure: optimized geometry

Results
V (Å³ per atom): 23.460
Total magnetic moment (μB/f.u.): 0.00
Mass density (g cm⁻³): 6.0

a b c (Å): 6.088 6.088 6.330
angles (deg): 90.00 90.00 90.00
Atoms (fractional coordinates):
1 Mn 0.000 0.000 0.000
2 Mn 0.500 0.500 0.000
3 Tc 0.360 0.860 0.000
4 Tc 0.860 0.640 0.000
5 Tc 0.640 0.140 0.000
6 Tc 0.140 0.360 0.000
7 Rb 0.187 0.687 0.500
8 Rb 0.687 0.813 0.500
9 Rb 0.813 0.313 0.500
10 Rb 0.313 0.187 0.500

Most stable to least stable, the ends of the list are B and A.

## A
Compound: RbMnTc2
Source: Alexandria
Functional: GGA-PBE
Structure: optimized geometry

Results
V (Å³ per atom): 25.110
Total magnetic moment (μB/f.u.): 0.00
Mass density (g cm⁻³): 5.6

a b c (Å): 5.078 5.078 8.578
angles (deg): 72.78 72.78 90.00
Atoms (fractional coordinates):
1 Mn 0.500 0.500 0.000
2 Mn 0.250 0.750 0.500
3 Tc 0.375 0.125 0.250
4 Tc 0.375 0.625 0.250
5 Tc 0.375 0.625 0.750
6 Tc 0.875 0.625 0.750
7 Rb 0.000 0.000 0.000
8 Rb 0.750 0.250 0.500

## B
Compound: RbMnTc2
Source: Alexandria
Functional: GGA-PBE
Structure: optimized geometry

Results
V (Å³ per atom): 16.089
Total magnetic moment (μB/f.u.): 0.00
Mass density (g cm⁻³): 8.7

a b c (Å): 4.498 4.498 4.498
angles (deg): 60.00 60.00 60.00
Atoms (fractional coordinates):
1 Mn 0.000 0.000 0.000
2 Tc 0.250 0.250 0.250
3 Tc 0.750 0.750 0.750
4 Rb 0.500 0.500 0.500

Most stable to least stable, the ends of the list are A and B.

## A
Compound: RbMn2Tc
Source: Alexandria
Functional: GGA-PBE
Structure: optimized geometry

Results
V (Å³ per atom): 29.277
Total magnetic moment (μB/f.u.): 6.00
Mass density (g cm⁻³): 4.2

a b c (Å): 5.535 5.535 8.590
angles (deg): 71.21 71.21 90.00
Site moments in Bohr magnetons follow the coordinates.
Atoms (fractional coordinates):
1 Mn 0.875 0.125 0.250  3.16
2 Mn 0.875 0.625 0.250  3.15
3 Mn 0.375 0.125 0.750  3.25
4 Mn 0.875 0.125 0.750  3.17
5 Tc 0.000 0.000 0.000  -0.90
6 Tc 0.750 0.250 0.500  -0.90
7 Rb 0.500 0.500 0.000  0.01
8 Rb 0.250 0.750 0.500  0.01

## B
Compound: RbMn2Tc
Source: Alexandria
Functional: GGA-PBE
Structure: optimized geometry

Results
V (Å³ per atom): 15.738
Total magnetic moment (μB/f.u.): 0.00
Mass density (g cm⁻³): 7.7

a b c (Å): 4.465 4.465 4.465
angles (deg): 60.00 60.00 60.00
Atoms (fractional coordinates):
1 Mn 0.250 0.250 0.250
2 Mn 0.750 0.750 0.750
3 Tc 0.500 0.500 0.500
4 Rb 0.000 0.000 0.000

Most stable to least stable, the ends of the list are A and B.

## A
Compound: RbMn3Te
Source: Alexandria
Functional: GGA-PBE
Structure: optimized geometry

Results
V (Å³ per atom): 27.062
Total magnetic moment (μB/f.u.): 10.06
Mass density (g cm⁻³): 4.6

a b c (Å): 5.134 5.134 5.134
angles (deg): 90.00 90.00 90.00
Site moments in Bohr magnetons follow the coordinates.
Atoms (fractional coordinates):
1 Mn 0.000 0.500 0.000  3.55
2 Mn 0.000 0.000 0.500  3.33
3 Mn 0.500 0.000 0.000  3.60
4 Te 0.000 0.000 0.000  -0.12
5 Rb 0.500 0.500 0.500  -0.05

## B
Compound: RbMn3Te
Source: Alexandria
Functional: GGA-PBE
Structure: optimized geometry

Results
V (Å³ per atom): 27.284
Total magnetic moment (μB/f.u.): 12.05
Mass density (g cm⁻³): 4.6

a b c (Å): 5.148 5.148 5.148
angles (deg): 90.00 90.00 90.00
Site moments in Bohr magnetons follow the coordinates.
Atoms (fractional coordinates):
1 Mn 0.000 0.500 0.000  3.87
2 Mn 0.000 0.000 0.500  3.51
3 Mn 0.500 0.000 0.000  4.09
4 Te 0.500 0.500 0.500  0.04
5 Rb 0.000 0.000 0.000  -0.01

Most stable to least stable, the ends of the list are A and B.